Entry 1:
A relaxed structure of Li2PuSnTe4. Source: the Alexandria database, functional GGA-PBE.

* crystal system: monoclinic
* E_tot: -5.0798 eV per atom
* theoretical density: 6.34 Mg/m³
* formation energy from raw total energies: -0.739 eV per atom

abc: 4.360 7.691 7.390
angles: 110.37 90.00 90.00
Each line ends with the local moment (μB).
Fractional positions:
Te1 0.000 0.247 0.742  -0.12
Te2 0.000 0.753 0.258  -0.12
Te3 0.500 0.741 0.739  -0.07
Te4 0.500 0.259 0.261  -0.07
Li1 0.000 0.500 0.500  0.00
Li2 0.500 0.000 0.500  -0.01
Sn1 0.000 0.000 0.000  -0.01
Pu1 0.500 0.500 0.000  5.07

Entry 2:
A relaxed structure of LiPuSn2Te4. Source: the Alexandria database, functional GGA-PBE.

* crystal system: monoclinic
* E_tot: -5.1980 eV per atom
* theoretical density: 6.57 Mg/m³
* formation energy from raw total energies: -0.596 eV per atom

abc: 4.459 7.618 7.852
angles: 108.95 90.00 90.00
Each line ends with the local moment (μB).
Fractional positions:
Te1 0.000 0.251 0.760  -0.07
Te2 0.500 0.244 0.239  -0.06
Te3 0.000 0.749 0.240  -0.07
Te4 0.500 0.756 0.761  -0.06
Sn1 0.000 0.500 0.500  -0.01
Sn2 0.500 0.000 0.500  -0.02
Pu1 0.500 0.500 0.000  5.26
Li1 0.000 0.000 0.000  0.00